Compound: KTmNO
Source: OQMD
Functional: GGA-PBE
Structure: optimized geometry

Calculated values
The value obtained for the relative energy among the computed polymorphs is 257 meV/atom.

Cell lengths 5.1053, 5.1053, 4.5907 Å; angles 90.00, 90.00, 90.00 degrees
Closest atoms and distances in Å follow each position.
Fractional coordinates of all 8 atoms:
K: 0.2500 0.2500 0.9995  2 N 2.30, 4 O 2.55
Tm: 0.2500 0.7500 0.5000  2 O 2.30, 4 N 2.55
O: 0.2500 0.7500 0.0000  2 Tm 2.30, 4 K 2.55
Tm: 0.7500 0.2500 0.5000  2 O 2.30, 4 N 2.55
K: 0.7500 0.7500 0.0005  2 N 2.30, 4 O 2.55
O: 0.7500 0.2500 0.0000  2 Tm 2.30, 4 K 2.55
N: 0.7500 0.7500 0.5005  2 K 2.30, 4 Tm 2.55
N: 0.2500 0.2500 0.4995  2 K 2.30, 4 Tm 2.55

Compound: KTmNO
Source: OQMD
Functional: GGA-PBE
Structure: optimized geometry

Calculated values
The value obtained for the relative energy among the computed polymorphs is 257 meV/atom.

Cell lengths 5.1120, 5.1120, 4.5767 Å; angles 90.00, 90.00, 90.00 degrees
Closest atoms and distances in Å follow each position.
Fractional coordinates of all 8 atoms:
K: 0.0000 0.5000 0.4989  2 N 2.29, 4 O 2.56
Tm: 0.0000 0.0000 0.0000  2 O 2.29, 4 N 2.56
N: 0.0000 0.5000 0.9990  2 K 2.29, 4 Tm 2.56
K: 0.5000 0.0000 0.5011  2 N 2.29, 4 O 2.56
N: 0.5000 0.0000 0.0010  2 K 2.29, 4 Tm 2.56
O: 0.5000 0.5000 0.5000  2 Tm 2.29, 4 K 2.56
O: 0.0000 0.0000 0.5000  2 Tm 2.29, 4 K 2.56
Tm: 0.5000 0.5000 0.0000  2 O 2.29, 4 N 2.56

Compound: KTmNO
Source: OQMD
Functional: GGA-PBE
Structure: optimized geometry

Calculated values
The value obtained for the relative energy among the computed polymorphs is 425 meV/atom.

Cell lengths 3.8661, 3.8661, 8.7043 Å; angles 90.00, 90.00, 90.00 degrees
Closest atoms and distances in Å follow each position.
Fractional coordinates of all 8 atoms:
K: 0.0000 0.0000 0.5000  4 N 2.67, 4 K 2.73
O: 0.0000 0.0000 0.0000  4 Tm 2.20
N: 0.5000 0.0000 0.2882  4 K 2.67
N: 0.0000 0.5000 0.7118  4 K 2.67
Tm: 0.0000 0.5000 0.1214  4 O 2.20
K: 0.5000 0.5000 0.5000  4 N 2.67, 4 K 2.73
Tm: 0.5000 0.0000 0.8786  4 O 2.20
O: 0.5000 0.5000 0.0000  4 Tm 2.20

Compound: KTmNO
Source: OQMD
Functional: GGA-PBE
Structure: optimized geometry

Calculated values
The value obtained for the relative energy among the computed polymorphs is 0 meV/atom.

Cell lengths 3.8831, 7.1040, 6.1812 Å; angles 90.00, 90.00, 90.00 degrees
Closest atoms and distances in Å follow each position.
Fractional coordinates of all 8 atoms:
K: 0.0000 0.1685 0.4783  2 O 2.65, 2 N 2.70-2.80
O: 0.5000 0.6066 0.8410  2 Tm 2.08-2.10
K: 0.0000 0.8315 0.9783  2 O 2.65, 2 N 2.70-2.80
N: 0.0000 0.2098 0.9296  2 Tm 2.23
N: 0.0000 0.7902 0.4296  2 Tm 2.23
Tm: 0.5000 0.3504 0.0051  2 O 2.08-2.10, 2 N 2.23
O: 0.5000 0.3934 0.3410  2 Tm 2.08-2.10
Tm: 0.5000 0.6496 0.5051  2 O 2.08-2.10, 2 N 2.23

Compound: KTmNO
Source: OQMD
Functional: GGA-PBE
Structure: optimized geometry

Calculated values
The value obtained for the relative energy among the computed polymorphs is 3 meV/atom.

Cell lengths 3.6009, 6.3706, 7.3036 Å; angles 90.00, 90.00, 90.00 degrees
Closest atoms and distances in Å follow each position.
Fractional coordinates of all 8 atoms:
K: 0.5000 0.5020 0.8383  2 O 2.65-2.71, 2 N 2.72
O: 0.5000 0.9261 0.8051  2 Tm 2.12
N: 0.0000 0.3323 0.6026  2 Tm 2.20
N: 0.0000 0.8323 0.3974  2 Tm 2.20
K: 0.5000 0.0020 0.1617  2 O 2.65-2.71, 2 N 2.72
Tm: 0.0000 0.4935 0.3368  2 O 2.12, 2 N 2.20
Tm: 0.0000 0.9935 0.6632  2 O 2.12, 2 N 2.20
O: 0.5000 0.4261 0.1949  2 Tm 2.12

Compound: KTmNO
Source: OQMD
Functional: GGA-PBE
Structure: optimized geometry

Calculated values
The value obtained for the relative energy among the computed polymorphs is 79 meV/atom.

Cell lengths 6.5797, 8.8401, 5.9344 Å; angles 90.00, 90.00, 90.00 degrees
Closest atoms and distances in Å follow each position.
Fractional coordinates of all 16 atoms:
Tm: 0.5913 0.3999 0.9802  1 N 2.14, 3 O 2.14-2.15
N: 0.4853 0.1785 0.0632  1 Tm 2.14
K: 0.0661 0.1222 0.0357  3 N 2.72-2.87
Tm: 0.4087 0.6001 0.4802  1 N 2.14, 3 O 2.14-2.15
O: 0.3868 0.5614 0.1233  3 Tm 2.14-2.15
K: 0.5661 0.8778 0.0357  3 N 2.72-2.87
Tm: 0.9087 0.3999 0.4802  1 N 2.14, 3 O 2.14-2.15
K: 0.4339 0.1222 0.5357  3 N 2.72-2.87
K: 0.9339 0.8778 0.5357  3 N 2.72-2.87
N: 0.5147 0.8215 0.5632  1 Tm 2.14
O: 0.8868 0.4386 0.1233  3 Tm 2.14-2.15
N: 0.9853 0.8215 0.0632  1 Tm 2.14
O: 0.1132 0.5614 0.6233  3 Tm 2.14-2.15
Tm: 0.0913 0.6001 0.9802  1 N 2.14, 3 O 2.14-2.15
N: 0.0147 0.1785 0.5632  1 Tm 2.14
O: 0.6132 0.4386 0.6233  3 Tm 2.14-2.15

Compound: KOs3N5
Source: OQMD
Functional: GGA-PBE
Structure: optimized geometry

Calculated values
The value obtained for the energy is -7.401 eV/atom.

Cell lengths 5.2321, 5.2321, 5.7894 Å; angles 90.00, 90.00, 120.00 degrees
Closest atoms and distances in Å follow each position.
Fractional coordinates of all 9 atoms:
Os: 0.5000 0.0000 0.5000  4 N 2.00
Os: 0.5000 0.5000 0.5000  4 N 2.00
N: 0.6667 0.3333 0.7269  3 Os 2.00
K: 0.0000 0.0000 0.0000  2 N 2.89
Os: 0.0000 0.5000 0.5000  4 N 2.00
N: 0.3333 0.6667 0.7269  3 Os 2.00
N: 0.6667 0.3333 0.2731  3 Os 2.00
N: 0.3333 0.6667 0.2731  3 Os 2.00
N: 0.0000 0.0000 0.5000  6 Os 2.62, 2 K 2.89

Compound: K2OsWN4
Source: OQMD
Functional: GGA-PBE
Structure: optimized geometry

Calculated values
The value obtained for the energy is -7.578 eV/atom.

Cell lengths 5.9243, 5.9243, 5.9243 Å; angles 121.65, 121.65, 87.17 degrees
Closest atoms and distances in Å follow each position.
Fractional coordinates of all 8 atoms:
N: 0.0228 0.8732 0.6487  1 Os 1.89, 1 W 1.90
W: 0.2500 0.7500 0.5000  4 N 1.90
K: 0.5000 0.5000 0.0000  4 N 2.92
N: 0.2245 0.3741 0.3513  1 Os 1.89, 1 W 1.90
N: 0.1268 0.7755 0.1496  1 Os 1.89, 1 W 1.90
Os: 0.0000 0.0000 0.0000  4 N 1.89
N: 0.6259 0.9772 0.8504  1 Os 1.89, 1 W 1.90
K: 0.7500 0.2500 0.5000  4 N 2.93

no.,total magnetization (μB per cell)
1,0.09
2,0.08
3,2.00
4,2.00
5,2.00
6,4.00
7,1.73
8,0.00